A plane-wave DFT calculation with PBE was carried out for crystalline Cs2Cd15Pb2 at its relaxed geometry.

Computed properties:
energy relative to the elements	-0.04	eV/atom
calculated density	7.5	g/cm³
total energy	-1.24	eV per atom

a b c (Å): 8.0846 8.0846 8.0846
angles (deg): 85.39 85.39 85.39
Sites, in units of the cell vectors:
Cd 0.0000 0.5000 0.0000
Cd 0.6476 0.1565 0.6476
Cd 0.5000 0.0000 0.0000
Cd 0.6476 0.6476 0.1565
Cd 0.7015 0.0000 0.2985
Pb 0.1036 0.1036 0.1036
Cd 0.0000 0.0000 0.5000
Cd 0.2985 0.7015 0.0000
Pb 0.8964 0.8964 0.8964
Cd 0.2985 0.0000 0.7015
Cd 0.1565 0.6476 0.6476
Cs 0.3448 0.3448 0.3448
Cd 0.3524 0.8435 0.3524
Cd 0.7015 0.2985 0.0000
Cd 0.0000 0.7015 0.2985
Cd 0.0000 0.2985 0.7015
Cd 0.8435 0.3524 0.3524
Cd 0.3524 0.3524 0.8435
Cs 0.6552 0.6552 0.6552

A plane-wave DFT calculation with PBE was carried out for crystalline Cs2Cd2Pb at its relaxed geometry.

Computed properties:
energy relative to the elements	-0.12	eV/atom
calculated density	5.3	g/cm³
total energy	-1.57	eV per atom
offset from the most stable computed form	0.0	meV per atom

a b c (Å): 6.5587 5.2727 7.5571
angles (deg): 69.58 64.28 90.00
Sites, in units of the cell vectors:
Cd 0.7455 0.5000 0.0000
Cs 0.3026 0.8026 0.3948
Pb 0.0000 0.0000 0.0000
Cd 0.2545 0.5000 0.0000
Cs 0.6974 0.1974 0.6052

A plane-wave DFT calculation with PBE was carried out for crystalline CsCd2Pb5 at its relaxed geometry.

Computed properties:
energy relative to the elements	-0.03	eV/atom
calculated density	8.4	g/cm³
total energy	-2.68	eV per atom

a b c (Å): 4.7916 8.1540 8.1540
angles (deg): 68.11 72.91 72.91
Sites, in units of the cell vectors:
Pb 0.6468 0.1643 0.5420
Pb 0.3532 0.8357 0.4580
Pb 0.6468 0.5420 0.1643
Cs 0.0000 0.0000 0.0000
Cd 0.7468 0.7532 0.7532
Pb 0.0000 0.5000 0.5000
Pb 0.3532 0.4580 0.8357
Cd 0.2532 0.2468 0.2468

A plane-wave DFT calculation with PBE was carried out for crystalline Cs2Cd2Pb at its relaxed geometry.

Computed properties:
energy relative to the elements	-0.08	eV/atom
calculated density	5.1	g/cm³
total energy	-1.53	eV per atom
offset from the most stable computed form	39.5	meV per atom

a b c (Å): 7.7821 8.5114 7.8733
angles (deg): 85.02 79.05 62.80
Sites, in units of the cell vectors:
Cd 0.3306 0.0000 0.9314
Cs 0.1815 0.3274 0.2929
Cs 0.4911 0.3274 0.7071
Pb 0.1145 0.7710 0.0000
Cd 0.0714 0.0000 0.6607
Pb 0.8855 0.2290 0.0000
Cd 0.9286 0.0000 0.3393
Cd 0.6694 0.0000 0.0686
Cs 0.5089 0.6726 0.2929
Cs 0.8185 0.6726 0.7071

A plane-wave DFT calculation with PBE was carried out for crystalline Cs2Cd2Pb at its relaxed geometry.

Computed properties:
energy relative to the elements	0.27	eV/atom
calculated density	5.1	g/cm³
total energy	-1.18	eV per atom
offset from the most stable computed form	390.4	meV per atom

a b c (Å): 5.4072 5.4072 8.5980
angles (deg): 71.67 71.67 90.00
Sites, in units of the cell vectors:
Cd 0.4112 0.4112 0.1775
Cs 0.7500 0.2500 0.5000
Cd 0.5888 0.5888 0.8225
Cs 0.2500 0.7500 0.5000
Pb 0.0000 0.0000 0.0000

A plane-wave DFT calculation with PBE was carried out for crystalline Cs3Cd7Pb4 at its relaxed geometry.

Computed properties:
energy relative to the elements	-0.04	eV/atom
calculated density	6.6	g/cm³
total energy	-1.74	eV per atom

a b c (Å): 5.0328 10.2277 10.4744
angles (deg): 80.66 76.10 75.76
Sites, in units of the cell vectors:
Pb 0.3178 0.4883 0.8760
Pb 0.8922 0.8967 0.3189
Cs 0.2771 0.2177 0.2280
Cd 0.8899 0.3078 0.9124
Pb 0.6822 0.5117 0.1240
Cs 0.7229 0.7823 0.7720
Cs 0.0000 0.5000 0.5000
Cd 0.1101 0.6922 0.0876
Cd 0.4908 0.1471 0.8713
Cd 0.0000 0.0000 0.0000
Cd 0.3251 0.8618 0.4879
Cd 0.6749 0.1382 0.5121
Cd 0.5092 0.8529 0.1287
Pb 0.1078 0.1033 0.6811

A plane-wave DFT calculation with PBE was carried out for crystalline Cs3Cd4Pb2 at its relaxed geometry.

Computed properties:
energy relative to the elements	-0.10	eV/atom
calculated density	5.5	g/cm³
total energy	-1.62	eV per atom

a b c (Å): 5.1912 7.5003 10.8600
angles (deg): 106.26 90.00 110.25
Sites, in units of the cell vectors:
Cd 0.0872 0.1743 0.6373
Pb 0.3039 0.6078 0.2332
Cs 0.0000 0.0000 0.0000
Cs 0.3799 0.7598 0.6274
Cd 0.9128 0.8257 0.3627
Pb 0.6961 0.3922 0.7668
Cs 0.6201 0.2402 0.3726
Cd 0.7373 0.4745 0.0711
Cd 0.2627 0.5255 0.9289

A plane-wave DFT calculation with PBE was carried out for crystalline CsCd5Pb at its relaxed geometry.

Computed properties:
energy relative to the elements	-0.03	eV/atom
calculated density	7.3	g/cm³
total energy	-1.34	eV per atom

a b c (Å): 6.2741 10.3650 12.5506
angles (deg): 90.00 90.00 90.00
Sites, in units of the cell vectors:
Cd 0.0102 0.0678 0.6881
Cd 0.9898 0.9322 0.3119
Cd 0.7500 0.3100 0.7522
Cs 0.2500 0.7415 0.5599
Cd 0.4898 0.0678 0.6881
Pb 0.2500 0.8648 0.8583
Pb 0.2500 0.3648 0.6417
Cd 0.4898 0.5678 0.8119
Cd 0.2500 0.9439 0.1018
Cd 0.5102 0.9322 0.3119
Cd 0.7500 0.0561 0.8982
Cd 0.2500 0.5779 0.0200
Cd 0.0102 0.5678 0.8119
Cs 0.7500 0.2585 0.4401
Pb 0.7500 0.1352 0.1417
Cd 0.7500 0.5561 0.6018
Pb 0.7500 0.6352 0.3583
Cd 0.7500 0.9221 0.5200
Cs 0.2500 0.2415 0.9401
Cd 0.9898 0.4322 0.1881
Cd 0.5102 0.4322 0.1881
Cd 0.2500 0.0779 0.4800
Cs 0.7500 0.7585 0.0599
Cd 0.2500 0.4439 0.3982
Cd 0.7500 0.4221 0.9800
Cd 0.7500 0.8100 0.7478
Cd 0.2500 0.1900 0.2522
Cd 0.2500 0.6900 0.2478